# GGA-PBE LiTc2PIr, optimized geometry
# - Magnetic moment: 1.902 Bohr magnetons per cell
# - D(E_F): 0.626 states/eV per atom
# - Calculated formation energy: 0.43 eV/atom
data_LiTc2PIr
_chemical_formula_sum 'Li1 Tc2 P1 Ir1'
_space_group_name_H-M_alt 'P 4/m m m'
_space_group_IT_number 123
_space_group_name_Hall '-P 4 2'
_cell_length_a 4.407
_cell_length_b 4.407
_cell_length_c 4.381
_cell_angle_alpha 90.00
_cell_angle_beta 90.00
_cell_angle_gamma 90.00
loop_
_atom_site_label
_atom_site_fract_x
_atom_site_fract_y
_atom_site_fract_z
_atom_site_occupancy
Li1 0.000 0.000 0.000 1
Tc1 0.000 0.500 0.500 1
P1 0.500 0.500 0.500 1
Ir1 0.500 0.500 0.000 1